Here is a relaxed Pr3SnC crystal from the Alexandria database. Energies are from PBE-GGA.

* M_tot: 0.0 Bohr magnetons per cell
* ρ: 6.70 g/cm³
* ΔH_f (0 K): -435.7 meV/atom
* raw total energy: -5.9487 eV per atom

a = 5.158 Å, b = 5.158 Å, c = 5.158 Å
α = 90.00°, β = 90.00°, γ = 90.00°
Space group Pm-3m (No. 221)
One atom of each set of equivalent atoms:
Pr1 0.000 0.000 0.500 (multiplicity 3)
Sn1 0.500 0.500 0.500 (multiplicity 1)
C1 0.000 0.000 0.000 (multiplicity 1)

=====

Here is a relaxed Pr2SnC crystal from the Alexandria database. Energies are from PBE-GGA.

* M_tot: 0.0 Bohr magnetons per cell
* ρ: 6.14 g/cm³
* ΔH_f (0 K): -51.7 meV/atom
* raw total energy: -5.7482 eV per atom

a = 3.6822 Å, b = 3.6822 Å, c = 28.4897 Å
α = 90.00°, β = 90.00°, γ = 120.00°
Space group R-3m (No. 166, hexagonal axes)
One atom of each set of equivalent atoms:
Pr1 0.0000 0.0000 0.1165 (multiplicity 6)
Sn1 0.0000 0.0000 0.0000 (multiplicity 3)
C1 0.0000 0.0000 0.5000 (multiplicity 3)

=====

Here is a relaxed Pr4Sn2C crystal from the Alexandria database. Energies are from PBE-GGA.

* M_tot: 0.0 Bohr magnetons per cell
* offset from the most stable computed form: 0 meV per atom
* ρ: 6.34 g/cm³
* ΔH_f (0 K): -499.6 meV/atom
* raw total energy: -5.6921 eV per atom

a = 5.047 Å, b = 5.047 Å, c = 16.712 Å
α = 90.00°, β = 90.00°, γ = 90.00°
Space group I4/mmm (No. 139)
One atom of each set of equivalent atoms:
Pr1 0.000 0.000 0.163 (multiplicity 4)
Pr2 0.000 0.500 0.000 (multiplicity 4)
Sn1 0.000 0.000 0.361 (multiplicity 4)
C1 0.000 0.000 0.000 (multiplicity 2)

=====

Here is a relaxed TbPr2SnC crystal from the Alexandria database. Energies are from PBE-GGA.

* M_tot: 0.0 Bohr magnetons per cell
* ρ: 7.22 g/cm³
* ΔH_f (0 K): -483.5 meV/atom
* raw total energy: -5.9666 eV per atom

a = 5.156 Å, b = 5.156 Å, c = 4.942 Å
α = 90.00°, β = 90.00°, γ = 90.00°
Space group P4/mmm (No. 123)
One atom of each set of equivalent atoms:
Tb1 0.000 0.000 0.000 (multiplicity 1)
Pr1 0.000 0.500 0.500 (multiplicity 2)
Sn1 0.500 0.500 0.000 (multiplicity 1)
C1 0.000 0.000 0.500 (multiplicity 1)

=====

Here is a relaxed Pr4TlSnC crystal from the Alexandria database. Energies are from PBE-GGA.

* M_tot: 0.0 Bohr magnetons per cell
* ρ: 7.01 g/cm³
* ΔH_f (0 K): -351.7 meV/atom
* raw total energy: -5.3104 eV per atom

a = 7.201 Å, b = 16.412 Å, c = 7.202 Å
α = 90.00°, β = 90.00°, γ = 90.00°
Space group Cmcm (No. 63)
One atom of each set of equivalent atoms:
Pr1 0.000 0.086 0.250 (multiplicity 4)
Pr2 0.000 0.414 0.250 (multiplicity 4)
Pr3 0.250 0.250 0.000 (multiplicity 8)
Tl1 0.000 0.113 0.750 (multiplicity 4)
Sn1 0.000 0.386 0.750 (multiplicity 4)
C1 0.000 0.249 0.250 (multiplicity 4)

=====

Here is a relaxed Pr2YSnC crystal from the Alexandria database. Energies are from PBE-GGA.

* M_tot: 0.0 Bohr magnetons per cell
* ρ: 6.36 g/cm³
* ΔH_f (0 K): -498.2 meV/atom
* raw total energy: -6.3482 eV per atom

a = 5.161 Å, b = 5.161 Å, c = 4.917 Å
α = 90.00°, β = 90.00°, γ = 90.00°
Space group P4/mmm (No. 123)
One atom of each set of equivalent atoms:
Pr1 0.000 0.500 0.000 (multiplicity 2)
Y1 0.000 0.000 0.500 (multiplicity 1)
Sn1 0.500 0.500 0.500 (multiplicity 1)
C1 0.000 0.000 0.000 (multiplicity 1)

=====

Here is a relaxed Pr3YSn2C crystal from the Alexandria database. Energies are from PBE-GGA.

* M_tot: 0.0 Bohr magnetons per cell
* ρ: 6.18 g/cm³
* ΔH_f (0 K): -591.7 meV/atom
* raw total energy: -6.0249 eV per atom

a = 4.873 Å, b = 5.030 Å, c = 16.678 Å
α = 90.00°, β = 90.00°, γ = 90.00°
Space group Immm (No. 71)
One atom of each set of equivalent atoms:
Pr1 0.000 0.000 0.000 (multiplicity 2)
Pr2 0.000 0.500 0.162 (multiplicity 4)
Y1 0.000 0.000 0.500 (multiplicity 2)
Sn1 0.000 0.500 0.362 (multiplicity 4)
C1 0.000 0.500 0.000 (multiplicity 2)

=====

Here is a relaxed SrPr3C8 crystal from the Alexandria database. Energies are from PBE-GGA.

* M_tot: 0.0 Bohr magnetons per cell
* ρ: 4.60 g/cm³
* ΔH_f (0 K): 152.0 meV/atom
* raw total energy: -7.3323 eV per atom

a = 10.359 Å, b = 10.373 Å, c = 8.147 Å
α = 90.00°, β = 90.00°, γ = 90.00°
Space group Fmm2 (No. 42)
One atom of each set of equivalent atoms:
Sr1 0.000 0.000 0.000 (multiplicity 4)
Pr1 0.000 0.000 0.500 (multiplicity 4)
Pr2 0.250 0.250 0.249 (multiplicity 8)
C1 0.000 0.173 0.754 (multiplicity 8)
C2 0.000 0.235 0.358 (multiplicity 8)
C3 0.173 0.000 0.247 (multiplicity 8)
C4 0.235 0.000 0.643 (multiplicity 8)

=====

Here is a relaxed Pr2Ta2C3 crystal from the Alexandria database. Energies are from PBE-GGA.

* M_tot: 0.0 Bohr magnetons per cell
* ρ: 9.33 g/cm³
* ΔH_f (0 K): -295.8 meV/atom
* raw total energy: -9.0010 eV per atom

a = 12.516 Å, b = 3.484 Å, c = 6.031 Å
α = 90.00°, β = 113.07°, γ = 90.00°
Space group C2/m (No. 12)
One atom of each set of equivalent atoms:
Pr1 0.106 0.000 0.317 (multiplicity 4)
Ta1 0.155 0.500 0.823 (multiplicity 4)
C1 0.000 0.500 0.500 (multiplicity 2)
C2 0.245 0.000 0.780 (multiplicity 4)

=====

Here is a relaxed PrTaC2 crystal from the Alexandria database. Energies are from PBE-GGA.

* M_tot: 0.0 Bohr magnetons per cell
* offset from the most stable computed form: 90 meV per atom
* ρ: 9.95 g/cm³
* ΔH_f (0 K): -204.6 meV/atom
* raw total energy: -8.9746 eV per atom

a = 3.3740 Å, b = 3.3740 Å, c = 17.5636 Å
α = 90.00°, β = 90.00°, γ = 120.00°
Space group R-3m (No. 166, hexagonal axes)
One atom of each set of equivalent atoms:
Pr1 0.0000 0.0000 0.0000 (multiplicity 3)
Ta1 0.0000 0.0000 0.5000 (multiplicity 3)
C1 0.0000 0.0000 0.2335 (multiplicity 6)

=====

Here is a relaxed PrTaC crystal from the Alexandria database. Energies are from PBE-GGA.

* M_tot: 0.0 Bohr magnetons per cell
* ρ: 9.01 g/cm³
* ΔH_f (0 K): 100.0 meV/atom
* raw total energy: -8.5187 eV per atom

a = 3.697 Å, b = 3.697 Å, c = 8.999 Å
α = 90.00°, β = 90.00°, γ = 90.00°
Space group P4/nmm (No. 129, origin choice 2)
One atom of each set of equivalent atoms:
Pr1 0.250 0.250 0.192 (multiplicity 2)
Ta1 0.250 0.750 0.500 (multiplicity 2)
C1 0.250 0.250 0.662 (multiplicity 2)

=====

Here is a relaxed PrTaC2 crystal from the Alexandria database. Energies are from PBE-GGA.

* M_tot: 0.0 Bohr magnetons per cell
* offset from the most stable computed form: 0 meV per atom
* ρ: 9.39 g/cm³
* ΔH_f (0 K): -294.5 meV/atom
* raw total energy: -9.0645 eV per atom

a = 5.913 Å, b = 3.717 Å, c = 11.136 Å
α = 90.00°, β = 90.00°, γ = 90.00°
Space group Pnma (No. 62)
One atom of each set of equivalent atoms:
Pr1 0.084 0.250 0.141 (multiplicity 4)
Ta1 0.087 0.750 0.393 (multiplicity 4)
C1 0.151 0.250 0.750 (multiplicity 4)
C2 0.198 0.250 0.471 (multiplicity 4)

=====

Here is a relaxed PrTa2TcC4 crystal from the Alexandria database. Energies are from PBE-GGA.

* M_tot: 0.0 Bohr magnetons per cell
* ρ: 10.13 g/cm³
* ΔH_f (0 K): -198.6 meV/atom
* raw total energy: -9.6669 eV per atom

a = 3.309 Å, b = 11.471 Å, c = 11.214 Å
α = 90.00°, β = 90.00°, γ = 90.00°
Space group Cmcm (No. 63)
One atom of each set of equivalent atoms:
Pr1 0.000 0.101 0.250 (multiplicity 4)
Ta1 0.000 0.372 0.039 (multiplicity 8)
Tc1 0.000 0.164 0.750 (multiplicity 4)
C1 0.000 0.000 0.000 (multiplicity 4)
C2 0.000 0.263 0.609 (multiplicity 8)
C3 0.000 0.430 0.250 (multiplicity 4)

=====

Here is a relaxed Tb2PrC3 crystal from the Alexandria database. Energies are from PBE-GGA.

* M_tot: 0.0 Bohr magnetons per cell
* ρ: 7.13 g/cm³
* ΔH_f (0 K): -33.0 meV/atom
* raw total energy: -6.9850 eV per atom

a = 5.764 Å, b = 10.605 Å, c = 7.539 Å
α = 90.00°, β = 90.00°, γ = 90.00°
Space group Imma (No. 74)
One atom of each set of equivalent atoms:
Tb1 0.000 0.079 0.166 (multiplicity 8)
Pr1 0.000 0.250 0.544 (multiplicity 4)
C1 0.118 0.000 0.500 (multiplicity 8)
C2 0.250 0.250 0.250 (multiplicity 4)

=====

Here is a relaxed TbPr3C8 crystal from the Alexandria database. Energies are from PBE-GGA.

* M_tot: 0.0 Bohr magnetons per cell
* ρ: 5.41 g/cm³
* ΔH_f (0 K): 163.0 meV/atom
* raw total energy: -7.5670 eV per atom

a = 7.332 Å, b = 7.332 Å, c = 7.735 Å
α = 90.00°, β = 90.00°, γ = 90.00°
Space group I-42m (No. 121)
One atom of each set of equivalent atoms:
Tb1 0.000 0.000 0.000 (multiplicity 2)
Pr1 0.000 0.000 0.500 (multiplicity 2)
Pr2 0.000 0.500 0.250 (multiplicity 4)
C1 0.161 0.161 0.781 (multiplicity 8)
C2 0.236 0.236 0.373 (multiplicity 8)

=====

Here is a relaxed Tb3PrC8 crystal from the Alexandria database. Energies are from PBE-GGA.

* M_tot: 0.0 Bohr magnetons per cell
* ρ: 6.20 g/cm³
* ΔH_f (0 K): 130.1 meV/atom
* raw total energy: -7.5750 eV per atom

a = 9.737 Å, b = 9.764 Å, c = 8.048 Å
α = 90.00°, β = 90.00°, γ = 90.00°
Space group Fmm2 (No. 42)
One atom of each set of equivalent atoms:
Tb1 0.000 0.000 0.000 (multiplicity 4)
Tb2 0.250 0.250 0.252 (multiplicity 8)
Pr1 0.000 0.000 0.500 (multiplicity 4)
C1 0.000 0.170 0.760 (multiplicity 8)
C2 0.000 0.239 0.142 (multiplicity 8)
C3 0.171 0.000 0.240 (multiplicity 8)
C4 0.238 0.000 0.857 (multiplicity 8)

=====

Here is a relaxed Tb8PrC4 crystal from the Alexandria database. Energies are from PBE-GGA.

* M_tot: 1.3 Bohr magnetons per cell
* ρ: 7.93 g/cm³
* ΔH_f (0 K): -155.7 meV/atom
* raw total energy: -6.2108 eV per atom

a = 18.190 Å, b = 3.624 Å, c = 12.510 Å
α = 90.00°, β = 132.13°, γ = 90.00°
Space group C2/m (No. 12)
One atom of each set of equivalent atoms:
Tb1 0.041 0.000 0.232 (multiplicity 4)
Tb2 0.139 0.500 0.098 (multiplicity 4)
Tb3 0.165 0.500 0.849 (multiplicity 4)
Tb4 0.207 0.500 0.565 (multiplicity 4)
Pr1 0.000 0.000 0.500 (multiplicity 2)
C1 0.149 0.000 0.969 (multiplicity 4)
C2 0.167 0.500 0.326 (multiplicity 4)

=====

Here is a relaxed PrTc2C3 crystal from the Alexandria database. Energies are from PBE-GGA.

* M_tot: 0.0 Bohr magnetons per cell
* ρ: 6.47 g/cm³
* ΔH_f (0 K): 467.2 meV/atom
* raw total energy: -8.3966 eV per atom

a = 7.919 Å, b = 8.957 Å, c = 5.396 Å
α = 90.00°, β = 90.00°, γ = 90.00°
Space group Cmcm (No. 63)
One atom of each set of equivalent atoms:
Pr1 0.000 0.176 0.250 (multiplicity 4)
Tc1 0.174 0.500 0.000 (multiplicity 8)
C1 0.000 0.415 0.750 (multiplicity 4)
C2 0.193 0.098 0.750 (multiplicity 8)

=====

Here is a relaxed Pr2Tc2C3 crystal from the Alexandria database. Energies are from PBE-GGA.

* M_tot: 0.0 Bohr magnetons per cell
* ρ: 7.74 g/cm³
* ΔH_f (0 K): -183.0 meV/atom
* raw total energy: -8.4634 eV per atom

a = 12.115 Å, b = 3.458 Å, c = 5.918 Å
α = 90.00°, β = 117.16°, γ = 90.00°
Space group C2/m (No. 12)
One atom of each set of equivalent atoms:
Pr1 0.105 0.000 0.312 (multiplicity 4)
Tc1 0.162 0.500 0.818 (multiplicity 4)
C1 0.000 0.500 0.500 (multiplicity 2)
C2 0.249 0.000 0.780 (multiplicity 4)

=====

Here is a relaxed PrTcC crystal from the Alexandria database. Energies are from PBE-GGA.

* M_tot: 0.0 Bohr magnetons per cell
* offset from the most stable computed form: 23 meV per atom
* ρ: 7.25 g/cm³
* ΔH_f (0 K): 4.0 meV/atom
* raw total energy: -8.1191 eV per atom

a = 5.799 Å, b = 3.715 Å, c = 5.339 Å
α = 90.00°, β = 90.00°, γ = 90.00°
Space group Pmma (No. 51)
One atom of each set of equivalent atoms:
Pr1 0.250 0.000 0.247 (multiplicity 2)
Tc1 0.250 0.500 0.734 (multiplicity 2)
C1 0.000 0.500 0.500 (multiplicity 2)

=====

Here is a relaxed PrTcC crystal from the Alexandria database. Energies are from PBE-GGA.

* M_tot: 0.0 Bohr magnetons per cell
* offset from the most stable computed form: 20 meV per atom
* ρ: 6.76 g/cm³
* ΔH_f (0 K): 1.6 meV/atom
* raw total energy: -8.1215 eV per atom

a = 17.853 Å, b = 3.903 Å, c = 7.080 Å
α = 90.00°, β = 91.45°, γ = 90.00°
Space group C2/m (No. 12)
One atom of each set of equivalent atoms:
Pr1 0.102 0.000 0.341 (multiplicity 4)
Pr2 0.105 0.500 0.891 (multiplicity 4)
Tc1 0.212 0.500 0.578 (multiplicity 4)
Tc2 0.242 0.500 0.146 (multiplicity 4)
C1 0.185 0.000 0.065 (multiplicity 4)
C2 0.194 0.000 0.614 (multiplicity 4)

=====

Here is a relaxed Pr2Tc3C2 crystal from the Alexandria database. Energies are from PBE-GGA.

* M_tot: 0.0 Bohr magnetons per cell
* ρ: 8.20 g/cm³
* ΔH_f (0 K): 174.1 meV/atom
* raw total energy: -8.2694 eV per atom

a = 11.050 Å, b = 3.042 Å, c = 8.002 Å
α = 90.00°, β = 115.37°, γ = 90.00°
Space group C2/m (No. 12)
One atom of each set of equivalent atoms:
Pr1 0.143 0.000 0.261 (multiplicity 4)
Tc1 0.000 0.500 0.500 (multiplicity 2)
Tc2 0.145 0.500 0.883 (multiplicity 4)
C1 0.096 0.000 0.701 (multiplicity 4)

=====

Here is a relaxed PrTcC crystal from the Alexandria database. Energies are from PBE-GGA.

* M_tot: 0.0 Bohr magnetons per cell
* offset from the most stable computed form: 0 meV per atom
* ρ: 7.53 g/cm³
* ΔH_f (0 K): -18.7 meV/atom
* raw total energy: -8.1418 eV per atom

a = 11.735 Å, b = 3.443 Å, c = 5.919 Å
α = 90.00°, β = 112.36°, γ = 90.00°
Space group C2/m (No. 12)
One atom of each set of equivalent atoms:
Pr1 0.106 0.000 0.315 (multiplicity 4)
Tc1 0.168 0.500 0.851 (multiplicity 4)
C1 0.240 0.000 0.775 (multiplicity 4)